Entry 1:
Fe4SiPt | GGA-PBEsol | relaxed

- density of states at the Fermi level (states/eV/cell) = 17.8
- spin magnetization (μB per cell) = 32.34
- VASP energy (eV per atom) = -8.0532
- crystal system = cubic

Geometry as CIF:
```
data_Fe4SiPt
_chemical_formula_sum 'Fe16 Si4 Pt4'
_space_group_name_H-M_alt 'F -4 3 m'
_space_group_IT_number 216
_space_group_name_Hall 'F -4 2 3'
_cell_length_a 6.570
_cell_length_b 6.570
_cell_length_c 6.570
_cell_angle_alpha 90.00
_cell_angle_beta 90.00
_cell_angle_gamma 90.00
loop_
_atom_site_label
_atom_site_fract_x
_atom_site_fract_y
_atom_site_fract_z
Fe1 0.124 0.124 0.124
Si1 0.250 0.250 0.750
Pt1 0.000 0.000 0.500
```

=====

Entry 2:
FeSiPt2 | GGA-PBEsol | relaxed

- density of states at the Fermi level (states/eV/cell) = 11.9
- spin magnetization (μB per cell) = 6.52
- VASP energy (eV per atom) = -7.4152
- crystal system = trigonal

Geometry as CIF:
```
data_FeSiPt2
_chemical_formula_sum 'Fe3 Si3 Pt6'
_space_group_name_H-M_alt 'R 3 m'
_space_group_IT_number 160
_space_group_name_Hall 'R 3 -2"'
_cell_length_a 2.7551
_cell_length_b 2.7551
_cell_length_c 24.4315
_cell_angle_alpha 90.00
_cell_angle_beta 90.00
_cell_angle_gamma 120.00
loop_
_atom_site_label
_atom_site_fract_x
_atom_site_fract_y
_atom_site_fract_z
Fe1 0.0000 0.0000 0.0000
Si1 0.0000 0.0000 0.2614
Pt1 0.0000 0.0000 0.5164
Pt2 0.0000 0.0000 0.7508
```

=====

Entry 3:
ZrFeSi2Pt | GGA-PBEsol | relaxed

- density of states at the Fermi level (states/eV/cell) = 3.9
- spin magnetization (μB per cell) = 2.73
- VASP energy (eV per atom) = -6.7799
- crystal system = tetragonal

Geometry as CIF:
```
data_ZrFeSi2Pt
_chemical_formula_sum 'Zr1 Fe1 Si2 Pt1'
_space_group_name_H-M_alt 'P 4/m m m'
_space_group_IT_number 123
_space_group_name_Hall '-P 4 2'
_cell_length_a 4.534
_cell_length_b 4.534
_cell_length_c 4.656
_cell_angle_alpha 90.00
_cell_angle_beta 90.00
_cell_angle_gamma 90.00
loop_
_atom_site_label
_atom_site_fract_x
_atom_site_fract_y
_atom_site_fract_z
Zr1 0.000 0.000 0.000
Fe1 0.500 0.500 0.000
Si1 0.000 0.500 0.500
Pt1 0.500 0.500 0.500
```